CsPd4S2: relaxed, PBE-GGA.

Summary:
Its total energy is -4.718 eV/atom. The formation energy from raw total energies is -0.4490 eV per atom.

Cell and atoms, written as CIF:
```
data_CsPd4S2
_chemical_formula_sum 'Cs1 Pd4 S2'
_cell_length_a 9.002
_cell_length_b 9.002
_cell_length_c 4.120
_cell_angle_alpha 90.00
_cell_angle_beta 90.00
_cell_angle_gamma 153.63
_symmetry_space_group_name_H-M 'P 1'
_symmetry_Int_Tables_number 1
loop_
_symmetry_equiv_pos_as_xyz
'x,y,z'
loop_
_atom_site_label
_atom_site_fract_x
_atom_site_fract_y
_atom_site_fract_z
Cs1 0.000 0.000 0.000
Pd1 0.194 0.806 0.500
Pd2 0.310 0.690 0.000
Pd3 0.690 0.310 0.000
Pd4 0.806 0.194 0.500
S1 0.375 0.625 0.500
S2 0.625 0.375 0.500
```

=====

Cs3PdS3: relaxed, PBE-GGA.

Summary:
Its total energy is -3.544 eV/atom. The formation energy from raw total energies is -0.6676 eV per atom.

Cell and atoms, written as CIF:
```
data_Cs3PdS3
_chemical_formula_sum 'Cs3 Pd1 S3'
_cell_length_a 6.980
_cell_length_b 6.980
_cell_length_c 6.980
_cell_angle_alpha 109.38
_cell_angle_beta 109.38
_cell_angle_gamma 109.38
_symmetry_space_group_name_H-M 'P 1'
_symmetry_Int_Tables_number 1
loop_
_symmetry_equiv_pos_as_xyz
'x,y,z'
loop_
_atom_site_label
_atom_site_fract_x
_atom_site_fract_y
_atom_site_fract_z
Cs1 0.196 0.196 0.609
Cs2 0.196 0.609 0.196
Cs3 0.609 0.196 0.196
Pd1 0.829 0.829 0.829
S1 0.064 0.721 0.721
S2 0.721 0.064 0.721
S3 0.721 0.721 0.064
```

=====

CsPdS: relaxed, PBE-GGA.

Summary:
Its total energy is -4.109 eV/atom. The formation energy from raw total energies is -0.7177 eV per atom.

Cell and atoms, written as CIF:
```
data_CsPdS
_chemical_formula_sum 'Cs2 Pd2 S2'
_cell_length_a 4.337
_cell_length_b 6.813
_cell_length_c 6.859
_cell_angle_alpha 106.11
_cell_angle_beta 106.25
_cell_angle_gamma 92.57
_symmetry_space_group_name_H-M 'P 1'
_symmetry_Int_Tables_number 1
loop_
_symmetry_equiv_pos_as_xyz
'x,y,z'
loop_
_atom_site_label
_atom_site_fract_x
_atom_site_fract_y
_atom_site_fract_z
Cs1 0.073 0.310 0.196
Cs2 0.927 0.690 0.804
Pd1 0.201 0.889 0.405
Pd2 0.799 0.111 0.595
S1 0.359 0.216 0.712
S2 0.641 0.784 0.288
```